DFT (GGA+U) results for crystalline CrSn3F at its relaxed geometry.

```
CrSn3F
1.0
-1.204 3.706 -3.210
-4.413 0.622 2.372
2.137 3.371 3.091
Sn F Cr
3 1 1
Direct
0.000 0.500 0.000
0.000 0.000 0.500
0.500 0.000 0.000
0.500 0.500 0.500
0.000 0.000 0.000
```

Results
The value obtained for the theoretical density is 5.512 g cm⁻³. Its energy above the lowest structure with this stoichiometry is 1.25 eV per formula unit. Its space group is Pm-3m. The calculation puts the total DFT energy (no corrections) at -4.21 eV per atom.